This record from the Alexandria database describes Dy2TiMnO6 after structural relaxation. The functional is PBE with a Hubbard U.

D(E_F)   0.000 states/eV per atom
M_tot   5.00 μB per formula unit
E   -8.32 eV/atom

a b c (Å): 5.2258 5.2258 5.0379
angles (deg): 90.00 90.00 90.00
Closest atoms and distances in Å follow each position.
Space group P4mm (No. 99)
One atom of each set of equivalent atoms:
Dy: 0.0000 0.5000 0.0000  4 O 2.25
Ti: 0.0000 0.0000 0.6032  5 O 1.84-1.92
Mn: 0.5000 0.5000 0.5671  5 O 2.00-2.12
O: 0.0000 0.0000 0.2373  1 Ti 1.84
O: 0.2401 0.2401 0.7468  1 Ti 1.92, 1 Mn 2.12
O: 0.5000 0.5000 0.1701  1 Mn 2.00